--- P ---
Computed, not measured: a geometry-optimized ScCrCl2 structure at the PBE-GGA level of DFT.

The density of states at the Fermi level comes out at 0.30 states/eV/atom.

The space group is Fm-3m (No. 225) and the conventional cell measures 6.499, 6.499 and 6.499 Å, with angles of 90.00, 90.00 and 90.00 degrees. The distinct sites, in fractional coordinates, are Sc at (0.000, 0.000, 0.000), Cr at (0.000, 0.000, 0.500) and Cl at (0.250, 0.250, 0.250).

---

--- Q ---
Computed, not measured: a geometry-optimized ScCrCl2 structure at the PBE-GGA level of DFT.

The density of states at the Fermi level comes out at 0.78 states/eV/atom.

The space group is P4/mmm (No. 123) and the conventional cell measures 3.160, 3.160 and 10.236 Å, with angles of 90.00, 90.00 and 90.00 degrees. The distinct sites, in fractional coordinates, are Sc at (0.000, 0.000, 0.000), Cr at (0.000, 0.000, 0.500) and Cl at (0.500, 0.500, 0.150).

---

--- R ---
Computed, not measured: a geometry-optimized ScCrCl2 structure at the PBE-GGA level of DFT.

The density of states at the Fermi level comes out at 0.73 states/eV/atom.

The space group is I-42d (No. 122) and the conventional cell measures 4.509, 4.509 and 16.066 Å, with angles of 90.00, 90.00 and 90.00 degrees. The distinct sites, in fractional coordinates, are Sc at (0.000, 0.000, 0.000), Cr at (0.000, 0.000, 0.500) and Cl at (0.242, 0.250, 0.625).

---

--- S ---
Computed, not measured: a geometry-optimized ScCrCl2 structure at the PBE-GGA level of DFT.

The density of states at the Fermi level comes out at 0.67 states/eV/atom.

The space group is P4/mmm (No. 123) and the conventional cell measures 4.543, 4.543 and 3.411 Å, with angles of 90.00, 90.00 and 90.00 degrees. The distinct sites, in fractional coordinates, are Sc at (0.000, 0.000, 0.000), Cr at (0.500, 0.500, 0.000) and Cl at (0.000, 0.500, 0.500).

---

The most stable of them is Q.

---

--- P ---
Computed, not measured: a geometry-optimized ScCrCl2 structure at the PBE-GGA level of DFT.

The density of states at the Fermi level comes out at 0.24 states/eV/atom.

The space group is C2/m (No. 12) and the conventional cell measures 12.629, 3.319 and 4.867 Å, with angles of 90.00, 93.99 and 90.00 degrees. The distinct sites, in fractional coordinates, are Sc at (0.000, 0.000, 0.000), Cr at (0.000, 0.500, 0.500) and Cl at (0.142, 0.500, 0.217).

---

--- Q ---
Computed, not measured: a geometry-optimized ScCrCl2 structure at the PBE-GGA level of DFT.

The density of states at the Fermi level comes out at 0.36 states/eV/atom.

The space group is Cm (No. 8) and the conventional cell measures 11.058, 3.291 and 6.099 Å, with angles of 90.00, 110.06 and 90.00 degrees. The distinct sites, in fractional coordinates, are Sc at (0.000, 0.000, 0.000), Cr at (0.062, 0.500, 0.640), Cl at (0.143, 0.500, 0.303) and Cl at (0.320, 0.000, 0.955).

---

The most stable of them is P.

---

--- P ---
Computed, not measured: a geometry-optimized ScCrCl2 structure at the PBE-GGA level of DFT.

The density of states at the Fermi level comes out at 0.61 states/eV/atom.

The space group is R-3m (No. 166, hexagonal axes) and the conventional cell measures 3.3971, 3.3971 and 30.3929 Å, with angles of 90.00, 90.00 and 120.00 degrees. The distinct sites, in fractional coordinates, are Sc at (0.0000, 0.0000, 0.0000), Cr at (0.0000, 0.0000, 0.5000) and Cl at (0.0000, 0.0000, 0.2795).

---

--- Q ---
Computed, not measured: a geometry-optimized ScCrCl2 structure at the PBE-GGA level of DFT.

The density of states at the Fermi level comes out at 0.49 states/eV/atom.

The space group is Imm2 (No. 44) and the conventional cell measures 3.194, 4.442 and 12.632 Å, with angles of 90.00, 90.00 and 90.00 degrees. The distinct sites, in fractional coordinates, are Sc at (0.000, 0.000, 0.000), Cr at (0.000, 0.500, 0.296), Cl at (0.000, 0.000, 0.471) and Cl at (0.000, 0.500, 0.668).

---

The most stable of them is P.

---

--- P ---
Computed, not measured: a geometry-optimized ScCrCl2 structure at the PBE-GGA level of DFT.

The density of states at the Fermi level comes out at 0.52 states/eV/atom.

The space group is Cmmm (No. 65) and the conventional cell measures 3.245, 6.179 and 8.415 Å, with angles of 90.00, 90.00 and 90.00 degrees. The distinct sites, in fractional coordinates, are Sc at (0.000, 0.000, 0.000), Cr at (0.000, 0.000, 0.500) and Cl at (0.000, 0.500, 0.246).

---

--- Q ---
Computed, not measured: a geometry-optimized ScCrCl2 structure at the PBE-GGA level of DFT.

The density of states at the Fermi level comes out at 0.63 states/eV/atom.

The space group is C2/m (No. 12) and the conventional cell measures 6.350, 8.339 and 3.484 Å, with angles of 90.00, 119.19 and 90.00 degrees. The distinct sites, in fractional coordinates, are Sc at (0.000, 0.000, 0.000), Cr at (0.000, 0.500, 0.000) and Cl at (0.250, 0.250, 0.000).

---

The most stable of them is Q.

---

--- P ---
Computed, not measured: a geometry-optimized ScCrCl6 structure at the PBE-GGA level of DFT.

The space group is R-3 (No. 148, hexagonal axes) and the conventional cell measures 6.2118, 6.2118 and 16.6658 Å, with angles of 90.00, 90.00 and 120.00 degrees. The distinct sites, in fractional coordinates, are Sc at (0.0000, 0.0000, 0.0000), Cr at (0.0000, 0.0000, 0.5000) and Cl at (0.0133, 0.3614, 0.2478).

---

--- Q ---
Computed, not measured: a geometry-optimized ScCrCl6 structure at the PBE-GGA level of DFT.

The space group is C2/m (No. 12) and the conventional cell measures 6.736, 12.060 and 6.155 Å, with angles of 90.00, 94.27 and 90.00 degrees. The distinct sites, in fractional coordinates, are Sc at (0.000, 0.000, 0.000), Cr at (0.000, 0.000, 0.500), Cl at (0.140, 0.135, 0.279) and Cl at (0.220, 0.500, 0.245).

---

The most stable of them is Q.

---

--- P ---
Computed, not measured: a geometry-optimized CrSeCl2 structure at the PBE-GGA level of DFT.

The density of states at the Fermi level comes out at 0.29 states/eV/atom.

The space group is Cmmm (No. 65) and the conventional cell measures 5.146, 13.047 and 3.209 Å, with angles of 90.00, 90.00 and 90.00 degrees. The distinct sites, in fractional coordinates, are Cr at (0.000, 0.000, 0.000), Se at (0.000, 0.500, 0.000) and Cl at (0.000, 0.130, 0.500).

---

--- Q ---
Computed, not measured: a geometry-optimized CrSeCl2 structure at the PBE-GGA level of DFT.

The density of states at the Fermi level comes out at 0.59 states/eV/atom.

The space group is Cmmm (No. 65) and the conventional cell measures 3.257, 5.929 and 11.342 Å, with angles of 90.00, 90.00 and 90.00 degrees. The distinct sites, in fractional coordinates, are Cr at (0.000, 0.000, 0.000), Se at (0.000, 0.000, 0.500) and Cl at (0.000, 0.500, 0.146).

---

The most stable of them is P.

---

--- P ---
Computed, not measured: a geometry-optimized CrSeCl2 structure at the PBE-GGA level of DFT.

The density of states at the Fermi level comes out at 1.07 states/eV/atom.

The space group is P4/mmm (No. 123) and the conventional cell measures 3.044, 3.044 and 10.750 Å, with angles of 90.00, 90.00 and 90.00 degrees. The distinct sites, in fractional coordinates, are Cr at (0.000, 0.000, 0.000), Se at (0.000, 0.000, 0.500) and Cl at (0.500, 0.500, 0.141).

---

--- Q ---
Computed, not measured: a geometry-optimized CrSeCl2 structure at the PBE-GGA level of DFT.

The density of states at the Fermi level comes out at 1.10 states/eV/atom.

The space group is P4/mmm (No. 123) and the conventional cell measures 4.434, 4.434 and 4.112 Å, with angles of 90.00, 90.00 and 90.00 degrees. The distinct sites, in fractional coordinates, are Cr at (0.000, 0.000, 0.000), Se at (0.500, 0.500, 0.000) and Cl at (0.000, 0.500, 0.500).

---

The most stable of them is P.

---

--- P ---
Computed, not measured: a geometry-optimized CrSeCl2 structure at the PBE-GGA level of DFT.

The density of states at the Fermi level comes out at 0.39 states/eV/atom.

The space group is C2/m (No. 12) and the conventional cell measures 13.756, 3.031 and 5.533 Å, with angles of 90.00, 113.23 and 90.00 degrees. The distinct sites, in fractional coordinates, are Cr at (0.000, 0.000, 0.000), Se at (0.000, 0.500, 0.500) and Cl at (0.141, 0.500, 0.138).

---

--- Q ---
Computed, not measured: a geometry-optimized CrSeCl2 structure at the PBE-GGA level of DFT.

The density of states at the Fermi level comes out at 0.03 states/eV/atom.

The space group is Amm2 (No. 38) and the conventional cell measures 3.490, 4.726 and 12.230 Å, with angles of 90.00, 90.00 and 90.00 degrees. The distinct sites, in fractional coordinates, are Cr at (0.000, 0.000, 0.000), Se at (0.500, 0.000, 0.132), Cl at (0.000, 0.000, 0.469) and Cl at (0.500, 0.000, 0.860).

---

The most stable of them is Q.

---

--- P ---
Computed, not measured: a geometry-optimized CrSeCl2 structure at the PBE-GGA level of DFT.

The density of states at the Fermi level comes out at 0.54 states/eV/atom.

The space group is I-42d (No. 122) and the conventional cell measures 8.738, 8.738 and 4.877 Å, with angles of 90.00, 90.00 and 90.00 degrees. The distinct sites, in fractional coordinates, are Cr at (0.000, 0.000, 0.000), Se at (0.000, 0.000, 0.500) and Cl at (0.104, 0.250, 0.125).

---

--- Q ---
Computed, not measured: a geometry-optimized CrSeCl2 structure at the PBE-GGA level of DFT.

The density of states at the Fermi level comes out at 0.49 states/eV/atom.

The space group is P4mm (No. 99) and the conventional cell measures 3.715, 3.715 and 7.851 Å, with angles of 90.00, 90.00 and 90.00 degrees. The distinct sites, in fractional coordinates, are Cr at (0.000, 0.000, 0.000), Se at (0.500, 0.500, 0.942), Cl at (0.000, 0.000, 0.280) and Cl at (0.500, 0.500, 0.655).

---

--- R ---
Computed, not measured: a geometry-optimized CrSeCl2 structure at the PBE-GGA level of DFT.

The density of states at the Fermi level comes out at 0.87 states/eV/atom.

The space group is R-3m (No. 166, hexagonal axes) and the conventional cell measures 3.3405, 3.3405 and 28.7999 Å, with angles of 90.00, 90.00 and 120.00 degrees. The distinct sites, in fractional coordinates, are Cr at (0.0000, 0.0000, 0.0000), Se at (0.0000, 0.0000, 0.5000) and Cl at (0.0000, 0.0000, 0.2818).

---

--- S ---
Computed, not measured: a geometry-optimized CrSeCl2 structure at the PBE-GGA level of DFT.

The density of states at the Fermi level comes out at 0.01 states/eV/atom.

The space group is Cm (No. 8) and the conventional cell measures 6.991, 3.625 and 8.061 Å, with angles of 90.00, 92.81 and 90.00 degrees. The distinct sites, in fractional coordinates, are Cr at (0.000, 0.000, 0.000), Se at (0.173, 0.500, 0.168), Cl at (0.048, 0.500, 0.422) and Cl at (0.345, 0.000, 0.837).

---

The most stable of them is S.

---

--- P ---
Computed, not measured: a geometry-optimized Cr2SeCl structure at the PBE-GGA level of DFT.

The density of states at the Fermi level comes out at 0.38 states/eV/atom.

The space group is P2/m (No. 10) and the conventional cell measures 3.467, 3.415 and 6.836 Å, with angles of 90.00, 90.01 and 90.00 degrees. The distinct sites, in fractional coordinates, are Cr at (0.003, 0.000, 0.211), Se at (0.500, 0.500, 0.000) and Cl at (0.000, 0.500, 0.500).

---

--- Q ---
Computed, not measured: a geometry-optimized Cr2SeCl structure at the PBE-GGA level of DFT.

The density of states at the Fermi level comes out at 0.42 states/eV/atom.

The space group is Pmmm (No. 47) and the conventional cell measures 3.560, 3.701 and 6.668 Å, with angles of 90.00, 90.00 and 90.00 degrees. The distinct sites, in fractional coordinates, are Cr at (0.000, 0.000, 0.000), Cr at (0.000, 0.500, 0.500), Se at (0.500, 0.000, 0.500) and Cl at (0.500, 0.500, 0.000).

---

The most stable of them is P.

---

--- P ---
Computed, not measured: a geometry-optimized Cr2SeCl structure at the PBE-GGA level of DFT.

The density of states at the Fermi level comes out at 0.62 states/eV/atom.

The space group is Immm (No. 71) and the conventional cell measures 3.693, 6.784 and 7.143 Å, with angles of 90.00, 90.00 and 90.00 degrees. The distinct sites, in fractional coordinates, are Cr at (0.000, 0.000, 0.247), Se at (0.000, 0.500, 0.500) and Cl at (0.000, 0.500, 0.000).

---

--- Q ---
Computed, not measured: a geometry-optimized Cr2SeCl structure at the PBE-GGA level of DFT.

The density of states at the Fermi level comes out at 0.61 states/eV/atom.

The space group is Fm-3m (No. 225) and the conventional cell measures 6.668, 6.668 and 6.668 Å, with angles of 90.00, 90.00 and 90.00 degrees. The distinct sites, in fractional coordinates, are Cr at (0.250, 0.250, 0.250), Se at (0.000, 0.000, 0.000) and Cl at (0.000, 0.000, 0.500).

---

The most stable of them is P.

---

--- P ---
Computed, not measured: a geometry-optimized Cr2SeCl structure at the PBE-GGA level of DFT.

The density of states at the Fermi level comes out at 0.82 states/eV/atom.

The space group is F-43m (No. 216) and the conventional cell measures 6.797, 6.797 and 6.797 Å, with angles of 90.00, 90.00 and 90.00 degrees. The distinct sites, in fractional coordinates, are Cr at (0.000, 0.000, 0.000), Cr at (0.250, 0.250, 0.250), Se at (0.250, 0.250, 0.750) and Cl at (0.000, 0.000, 0.500).

---

--- Q ---
Computed, not measured: a geometry-optimized Cr2SeCl structure at the PBE-GGA level of DFT.

The density of states at the Fermi level comes out at 0.40 states/eV/atom.

The space group is Cm (No. 8) and the conventional cell measures 13.532, 3.593 and 3.611 Å, with angles of 90.00, 90.08 and 90.00 degrees. The distinct sites, in fractional coordinates, are Cr at (0.000, 0.000, 0.000), Cr at (0.236, 0.500, 0.503), Se at (0.041, 0.500, 0.500) and Cl at (0.276, 0.000, 0.003).

---

The most stable of them is Q.

---

--- P ---
Computed, not measured: a geometry-optimized Cr2SeCl structure at the PBE-GGA level of DFT.

The density of states at the Fermi level comes out at 0.52 states/eV/atom.

The space group is P4/mmm (No. 123) and the conventional cell measures 3.842, 3.842 and 5.362 Å, with angles of 90.00, 90.00 and 90.00 degrees. The distinct sites, in fractional coordinates, are Cr at (0.000, 0.000, 0.000), Cr at (0.500, 0.500, 0.500), Se at (0.000, 0.000, 0.500) and Cl at (0.500, 0.500, 0.000).

---

--- Q ---
Computed, not measured: a geometry-optimized Cr2SeCl structure at the PBE-GGA level of DFT.

The density of states at the Fermi level comes out at 0.51 states/eV/atom.

The space group is R-3m (No. 166, hexagonal axes) and the conventional cell measures 3.8526, 3.8526 and 18.8734 Å, with angles of 90.00, 90.00 and 120.00 degrees. The distinct sites, in fractional coordinates, are Cr at (0.0000, 0.0000, 0.2431), Se at (0.0000, 0.0000, 0.5000) and Cl at (0.0000, 0.0000, 0.0000).

---

The most stable of them is Q.